{"formula": "Ho4Er5In", "functional": "PBE-GGA", "state": "relaxed", "cell": [[-2.9771, 1.6745, 4.6051], [-7.6141, 1.4074, -1.8648], [-3.1635, -6.2466, 3.7954]], "species": ["Er", "Er", "Er", "Er", "Er", "Ho", "Ho", "Ho", "Ho", "In"], "frac_coords": [[0.7704, 0.3711, 0.0000], [0.1415, 0.6289, 0.0000], [0.1414, 0.0000, 0.6289], [0.6697, 0.0000, 0.0000], [0.7704, 0.0000, 0.3711], [0.4574, 0.6840, 0.3160], [0.1414, 0.3160, 0.3160], [0.7735, 0.6839, 0.6840], [0.4575, 0.3160, 0.6839], [0.1870, 0.0000, 0.0000]], "crystal_system": "tetragonal", "spacegroup": "I4mm (107)", "ef_mev_per_atom": 126, "relative_energy_mev_per_atom": 205, "vol_a3_per_cell": 316.6, "n_ef_per_ev_fu": 13.93}